[1]
PmMg2CdAg4: relaxed, PBE.

Structure (POSCAR):
```
PmMg2CdAg4
1.0
2.3842 1.3765 8.6321
-2.3842 1.3765 8.6321
0.0000 -2.7530 8.6321
Pm Mg Cd Ag
1 2 1 4
direct
0.0000 0.0000 0.0000
0.2444 0.2444 0.2444
0.7556 0.7556 0.7556
0.5000 0.5000 0.5000
0.1252 0.1252 0.1252
0.3912 0.3912 0.3912
0.6088 0.6088 0.6088
0.8748 0.8748 0.8748
```

- Total magnetic moment: 0.00 μB/f.u.
- Fermi-level density of states: 4.0 states/eV/cell
- Electronic total energy: -21.7 eV for the cell shown
- DFT formation energy: -178 meV/atom



[2]
PmMgCd2Ag4: relaxed, PBE.

Structure (POSCAR):
```
PmMgCd2Ag4
1.0
2.4335 1.4050 8.1476
-2.4335 1.4050 8.1476
0.0000 -2.8100 8.1476
Pm Mg Cd Ag
1 1 2 4
direct
0.0000 0.0000 0.0000
0.5000 0.5000 0.5000
0.2513 0.2513 0.2513
0.7487 0.7487 0.7487
0.1301 0.1301 0.1301
0.3874 0.3874 0.3874
0.6126 0.6126 0.6126
0.8699 0.8699 0.8699
```

- Total magnetic moment: 0.00 μB/f.u.
- Fermi-level density of states: 2.9 states/eV/cell
- Electronic total energy: -21.1 eV for the cell shown
- DFT formation energy: -192 meV/atom



[3]
PrMgCdAg: relaxed, PBE.

Structure (POSCAR):
```
PrMgCdAg
1.0
0.0000 3.6399 3.6399
3.6399 0.0000 3.6399
3.6399 3.6399 0.0000
Pr Mg Cd Ag
1 1 1 1
direct
0.0000 0.0000 0.0000
0.5000 0.5000 0.5000
0.7500 0.7500 0.7500
0.2500 0.2500 0.2500
```

- Total magnetic moment: 0.00 μB/f.u.
- Fermi-level density of states: 3.0 states/eV/cell
- Electronic total energy: -11.4 eV for the cell shown
- DFT formation energy: -307 meV/atom